Entry 1:
A relaxed structure of LaY3W, computed with PBE-GGA.

Magnetic moment: 0.0 μB/cell

Geometry as extended XYZ:
```
5
Lattice="5.370 0.000 0.000 0.000 5.370 0.000 0.000 0.000 5.370" Properties=species:S:1:pos:R:3 pbc="T T T"
Y 2.685 0.000 0.000
La 0.000 0.000 0.000
Y 0.000 2.685 0.000
Y 0.000 0.000 2.685
W 2.685 2.685 2.685
```

---

Entry 2:
A relaxed structure of LaY2W, computed with PBE-GGA.

Magnetic moment: 0.0 μB/cell

Geometry as extended XYZ:
```
4
Lattice="-4.390 -2.081 -1.253 1.434 -1.426 -2.656 2.188 -5.858 2.066" Properties=species:S:1:pos:R:3 pbc="T T T"
Y 1.986 -3.920 -0.446
Y 3.446 -7.005 -0.439
W 0.521 -6.503 -1.069
La -1.290 -2.862 -0.774
```

---

Entry 3:
A relaxed structure of LaY2W, computed with PBE-GGA.

Magnetic moment: 0.0 μB/cell

Geometry as extended XYZ:
```
4
Lattice="-1.639 0.422 -4.355 -1.539 -4.427 0.150 -4.265 1.541 1.755" Properties=species:S:1:pos:R:3 pbc="T T T"
W -2.902 -1.443 0.952
Y 0.000 0.000 0.000
La -2.952 0.982 -1.300
Y -1.589 -2.003 -2.102
```

---

Number 1: calculated volume 154.8 Å³/f.u., offset from the most stable computed form 128.4 kJ per mole of atoms. Number 2: calculated volume 106.1 Å³/f.u., offset from the most stable computed form 10.8 kJ per mole of atoms. Number 3: calculated volume 106.5 Å³/f.u., offset from the most stable computed form 14.7 kJ per mole of atoms.